Entry 1:
A relaxed structure of Dy2YHoTe6. Source: Alexandria, functional PBE.

## Properties
**Calculated volume**: 359.2 Å³/cell
**Space-group type**: R3, No. 146
**Raw formation energy**: -1365.9 meV per atom

abc: 7.6865 7.6866 8.3052
angles: 62.44 62.44 60.00
Positions (direct):
1 Dy 0.5091 0.5092 0.4725
2 Dy 0.0089 0.0089 0.9733
3 Y 0.8233 0.8233 0.5302
4 Ho 0.3236 0.3236 0.0293
5 Te 0.6009 0.2302 0.2512
6 Te 0.2303 0.9176 0.2512
7 Te 0.9176 0.6009 0.2512
8 Te 0.4158 0.7293 0.7521
9 Te 0.7293 0.1028 0.7521
10 Te 0.1028 0.4158 0.7521

=====

Entry 2:
A relaxed structure of Dy3YHo3Te8. Source: Alexandria, functional PBE.

## Properties
**Calculated volume**: 459.4 Å³/cell
**Space-group type**: R-3m, No. 166
**Raw formation energy**: -1355.4 meV per atom

abc: 8.6618 8.6615 8.6609
angles: 120.00 90.00 120.00
Positions (direct):
1 Dy 0.0000 0.0000 0.0000
2 Dy 0.0000 0.5000 0.0000
3 Dy 0.5000 0.5000 0.0000
4 Y 0.0000 0.0000 0.5000
5 Ho 0.5000 0.0000 0.5000
6 Ho 0.5000 0.5000 0.5000
7 Ho 0.0000 0.5000 0.5000
8 Te 0.2505 0.5010 0.2515
9 Te 0.7495 0.4990 0.7485
10 Te 0.7437 0.4874 0.2447
11 Te 0.2563 0.5126 0.7553
12 Te 0.7437 0.0010 0.2447
13 Te 0.2563 0.9990 0.7553
14 Te 0.2572 0.0010 0.2447
15 Te 0.7428 0.9990 0.7553

=====

Entry 3:
A relaxed structure of Dy3YHo2Te6. Source: Alexandria, functional PBE.

## Properties
**Calculated volume**: 349.2 Å³/cell
**Space-group type**: C2/m, No. 12
**Raw formation energy**: -1272.6 meV per atom

abc: 4.3323 8.7397 9.7224
angles: 102.97 102.87 90.00
Positions (direct):
1 Dy 0.5000 0.5000 0.0000
2 Dy 0.8346 0.1676 0.6691
3 Dy 0.1654 0.8324 0.3309
4 Y 0.5000 0.0000 0.0000
5 Ho 0.8338 0.6681 0.6676
6 Ho 0.1662 0.3319 0.3324
7 Te 0.3325 0.9159 0.6650
8 Te 0.6673 0.5818 0.3345
9 Te 0.6675 0.0841 0.3350
10 Te 0.0007 0.2510 0.0015
11 Te 0.9993 0.7490 0.9985
12 Te 0.3327 0.4182 0.6655